Record 1
VASP calculation (GGA-PBE) on a relaxed structure of LiDyMgPt.

Computed properties:
* ΔE_f: -0.663 eV/atom
* E_tot: -4.200 eV/atom
* symmetry: F-43m, No. 216
* DOS at the Fermi energy: 0.81 states/eV/atom
* V: 19.26 Å³/atom

Cell lengths 4.7765, 4.7765, 4.7765 Å; angles 60.00, 60.00, 60.00 degrees
With the nearest neighbours (Å) after each atom.
Sites, in units of the cell vectors:
Li 0.0000 0.0000 0.0000  4 Mg 2.92, 4 Dy 2.92
Dy 0.2500 0.2500 0.2500  4 Li 2.92, 4 Pt 2.92
Mg 0.7500 0.7500 0.7500  4 Li 2.92, 4 Pt 2.92
Pt 0.5000 0.5000 0.5000  4 Mg 2.92, 4 Dy 2.92



Record 2
VASP calculation (GGA-PBE) on a relaxed structure of LiDyMgRu.

Computed properties:
* ΔE_f: -0.134 eV/atom
* E_tot: -4.480 eV/atom
* symmetry: F-43m, No. 216
* DOS at the Fermi energy: 0.23 states/eV/atom
* V: 18.81 Å³/atom

Cell lengths 4.7387, 4.7387, 4.7387 Å; angles 60.00, 60.00, 60.00 degrees
With the nearest neighbours (Å) after each atom.
Sites, in units of the cell vectors:
Li 0.0000 0.0000 0.0000  4 Mg 2.90, 4 Dy 2.90
Dy 0.2500 0.2500 0.2500  4 Ru 2.90, 4 Li 2.90
Mg 0.7500 0.7500 0.7500  4 Ru 2.90, 4 Li 2.90
Ru 0.5000 0.5000 0.5000  4 Dy 2.90, 4 Mg 2.90



Record 3
VASP calculation (GGA-PBE) on a relaxed structure of LiDyMg2S4.

Computed properties:
* formation energy from raw total energies: -1.617 eV per atom
* E_tot: -4.894 eV/atom
* symmetry: P2/m, No. 10
* DOS at the Fermi energy: 0.00 states/eV/atom
* V: 19.09 Å³/atom

Cell lengths 6.4643, 3.8229, 6.5147 Å; angles 90.00, 108.48, 90.00 degrees
With the nearest neighbours (Å) after each atom.
Sites, in units of the cell vectors:
Li 0.0000 0.0000 0.0000  6 S 2.62-2.75
Dy 0.5000 0.5000 0.0000  6 S 2.70-2.73
Mg 0.0000 0.5000 0.5000  6 S 2.57-2.66
Mg 0.5000 0.0000 0.5000  6 S 2.64
S 0.2423 0.0000 0.7441  1 Li 2.62, 3 Mg 2.64-2.66, 2 Dy 2.73
S 0.2538 0.5000 0.2657  3 Mg 2.57-2.64, 1 Dy 2.70, 2 Li 2.75
S 0.7462 0.5000 0.7343  3 Mg 2.57-2.64, 1 Dy 2.70, 2 Li 2.75
S 0.7577 0.0000 0.2559  1 Li 2.62, 3 Mg 2.64-2.66, 2 Dy 2.73



Record 4
VASP calculation (GGA-PBE) on a relaxed structure of Li2DyMg5Sc2.

Computed properties:
* ΔE_f: 0.044 eV/atom
* E_tot: -2.863 eV/atom
* symmetry: P4/mbm, No. 127
* DOS at the Fermi energy: 0.84 states/eV/atom
* V: 23.07 Å³/atom

Cell lengths 10.1814, 10.1814, 4.4510 Å; angles 90.00, 90.00, 90.00 degrees
With the nearest neighbours (Å) after each atom.
Sites, in units of the cell vectors:
Li 0.1167 0.3833 0.0000  6 Mg 2.79-2.87, 3 Sc 2.95-3.07
Li 0.3833 0.8833 0.0000  6 Mg 2.79-2.87, 3 Sc 2.95-3.07
Li 0.6167 0.1167 0.0000  6 Mg 2.79-2.87, 3 Sc 2.95-3.07
Li 0.8833 0.6167 0.0000  6 Mg 2.79-2.87, 3 Sc 2.95-3.07
Dy 0.0000 0.0000 0.0000  8 Mg 3.18
Dy 0.5000 0.5000 0.0000  8 Mg 3.18
Mg 0.0000 0.5000 0.5000  4 Li 2.79, 4 Mg 3.01
Mg 0.0676 0.2124 0.5000  2 Li 2.87, 4 Mg 3.01-3.21, 2 Dy 3.18
Mg 0.2124 0.9324 0.5000  2 Li 2.87, 4 Mg 3.01-3.21, 2 Dy 3.18
Mg 0.2876 0.4324 0.5000  2 Li 2.87, 4 Mg 3.01-3.21, 2 Dy 3.18
Mg 0.4324 0.7124 0.5000  2 Li 2.87, 4 Mg 3.01-3.21, 2 Dy 3.18
Mg 0.5000 0.0000 0.5000  4 Li 2.79, 4 Mg 3.01
Mg 0.5676 0.2876 0.5000  2 Li 2.87, 4 Mg 3.01-3.21, 2 Dy 3.18
Mg 0.7124 0.5676 0.5000  2 Li 2.87, 4 Mg 3.01-3.21, 2 Dy 3.18
Mg 0.7876 0.0676 0.5000  2 Li 2.87, 4 Mg 3.01-3.21, 2 Dy 3.18
Mg 0.9324 0.7876 0.5000  2 Li 2.87, 4 Mg 3.01-3.21, 2 Dy 3.18
Sc 0.1782 0.6782 0.0000  3 Li 2.95-3.07
Sc 0.3218 0.1782 0.0000  3 Li 2.95-3.07
Sc 0.6782 0.8218 0.0000  3 Li 2.95-3.07
Sc 0.8218 0.3218 0.0000  3 Li 2.95-3.07



Record 5
VASP calculation (GGA-PBE) on a relaxed structure of LiDyMgSc.

Computed properties:
* ΔE_f: 0.080 eV/atom
* E_tot: -3.531 eV/atom
* symmetry: F-43m, No. 216
* DOS at the Fermi energy: 1.63 states/eV/atom
* V: 24.43 Å³/atom

Cell lengths 5.1704, 5.1704, 5.1704 Å; angles 60.00, 60.00, 60.00 degrees
With the nearest neighbours (Å) after each atom.
Sites, in units of the cell vectors:
Li 0.0000 0.0000 0.0000  4 Dy 3.17, 4 Sc 3.17
Dy 0.2500 0.2500 0.2500  4 Mg 3.17, 4 Li 3.17
Mg 0.5000 0.5000 0.5000  4 Sc 3.17, 4 Dy 3.17
Sc 0.7500 0.7500 0.7500  4 Mg 3.17, 4 Li 3.17



Record 6
VASP calculation (GGA-PBE) on a relaxed structure of LiDyMg2Se4.

Computed properties:
* formation energy from raw total energies: -1.446 eV per atom
* E_tot: -4.401 eV/atom
* symmetry: P2/m, No. 10
* V: 22.05 Å³/atom

Cell lengths 6.7988, 4.0039, 6.8325 Å; angles 90.00, 108.48, 90.00 degrees
With the nearest neighbours (Å) after each atom.
Sites, in units of the cell vectors:
Li 0.0000 0.0000 0.0000  6 Se 2.75-2.87
Dy 0.5000 0.5000 0.0000  6 Se 2.83-2.86
Mg 0.0000 0.5000 0.5000  6 Se 2.70-2.79
Mg 0.5000 0.0000 0.5000  6 Se 2.78-2.79
Se 0.2417 0.0000 0.7454  1 Li 2.75, 3 Mg 2.79, 2 Dy 2.86
Se 0.2529 0.5000 0.2643  3 Mg 2.70-2.78, 1 Dy 2.83, 2 Li 2.87
Se 0.7471 0.5000 0.7357  3 Mg 2.70-2.78, 1 Dy 2.83, 2 Li 2.87
Se 0.7583 0.0000 0.2546  1 Li 2.75, 3 Mg 2.79, 2 Dy 2.86